This record from Alexandria via LeMat-Bulk describes an optimized crystal structure of BaCuPt. The functional is PBE-GGA.

Cell: 6.780 6.780 6.780 Å, 90.00 90.00 90.00°
Space group F-43m (No. 216)
Asymmetric unit:
1 Ba 0.000 0.000 0.000 x4
2 Cu 0.250 0.250 0.250 x4
3 Pt 0.000 0.000 0.500 x4

The total magnetization comes out at 0.0 μB per formula unit. Its energy of formation is -5 kJ/mol of atoms. The crystal system is cubic. The value obtained for the density is 8.4 g/cm3.

This record from Alexandria via LeMat-Bulk describes an optimized crystal structure of BaCu2Pt. The functional is PBE-GGA.

Cell: 4.4108 4.4108 16.1363 Å, 90.00 90.00 120.00°
Space group R-3m (No. 166, hexagonal axes)
Asymmetric unit:
1 Ba 0.0000 0.0000 0.0000 x3
2 Cu 0.0000 0.0000 0.1880 x6
3 Pt 0.0000 0.0000 0.5000 x3

The total magnetization comes out at 0.0 μB per formula unit. Its energy of formation is -32 kJ/mol of atoms. The crystal system is trigonal. The value obtained for the density is 8.4 g/cm3.

This record from Alexandria via LeMat-Bulk describes an optimized crystal structure of BaCuPt. The functional is PBE-GGA.

Cell: 3.619 3.619 10.783 Å, 90.00 90.00 90.00°
Space group I4mm (No. 107)
Asymmetric unit:
1 Ba 0.000 0.000 0.000 x2
2 Cu 0.000 0.000 0.273 x2
3 Pt 0.000 0.000 0.714 x2

The total magnetization comes out at 0.0 μB per formula unit. Its energy of formation is -16 kJ/mol of atoms. The crystal system is tetragonal. The value obtained for the density is 9.3 g/cm3.

This record from Alexandria via LeMat-Bulk describes an optimized crystal structure of Ba3CuPt2. The functional is PBE-GGA.

Cell: 12.593 4.598 12.970 Å, 90.00 90.00 90.00°
Space group Pnma (No. 62)
Asymmetric unit:
1 Ba 0.059 0.250 0.123 x4
2 Ba 0.120 0.750 0.555 x4
3 Ba 0.202 0.250 0.805 x4
4 Cu 0.127 0.250 0.368 x4
5 Pt 0.037 0.750 0.320 x4
6 Pt 0.195 0.750 0.978 x4

The total magnetization comes out at 0.0 μB per formula unit. Its energy of formation is -53 kJ/mol of atoms. The crystal system is orthorhombic. The value obtained for the density is 7.7 g/cm3.

This record from Alexandria via LeMat-Bulk describes an optimized crystal structure of Ba5CuPt. The functional is PBE-GGA.

Cell: 12.103 10.276 12.244 Å, 90.00 112.27 90.00°
Space group C2/c (No. 15)
Asymmetric unit:
1 Ba 0.000 0.242 0.250 x4
2 Ba 0.101 0.180 0.643 x8
3 Ba 0.188 0.461 0.011 x8
4 Cu 0.000 0.432 0.750 x4
5 Pt 0.250 0.250 0.500 x4

The total magnetization comes out at 0.0 μB per formula unit. Its energy of formation is -19 kJ/mol of atoms. The crystal system is monoclinic. The value obtained for the density is 4.5 g/cm3.

This record from Alexandria via LeMat-Bulk describes an optimized crystal structure of BaCu2Pt. The functional is PBE-GGA.

Cell: 4.399 4.399 4.268 Å, 90.00 90.00 90.00°
Space group P4/mmm (No. 123)
Asymmetric unit:
1 Ba 0.000 0.000 0.000 x1
2 Cu 0.000 0.500 0.500 x2
3 Pt 0.500 0.500 0.000 x1

The total magnetization comes out at 0.0 μB per formula unit. Its energy of formation is 22 kJ/mol of atoms. The crystal system is tetragonal. The value obtained for the density is 9.2 g/cm3.

This record from Alexandria via LeMat-Bulk describes an optimized crystal structure of BaCu2Pt. The functional is PBE-GGA.

Cell: 4.291 4.291 8.994 Å, 90.00 90.00 90.00°
Space group I-4m2 (No. 119)
Asymmetric unit:
1 Ba 0.000 0.000 0.000 x2
2 Cu 0.000 0.000 0.500 x2
3 Cu 0.000 0.500 0.750 x2
4 Pt 0.000 0.500 0.250 x2

The total magnetization comes out at 0.0 μB per formula unit. Its energy of formation is 20 kJ/mol of atoms. The crystal system is tetragonal. The value obtained for the density is 9.2 g/cm3.

This record from Alexandria via LeMat-Bulk describes an optimized crystal structure of BaCu2Pt. The functional is PBE-GGA.

Cell: 4.266 5.910 7.526 Å, 90.00 90.00 90.00°
Space group Imm2 (No. 44)
Asymmetric unit:
1 Ba 0.000 0.000 0.000 x2
2 Cu 0.000 0.000 0.494 x2
3 Cu 0.000 0.500 0.832 x2
4 Pt 0.000 0.500 0.172 x2

The total magnetization comes out at 0.0 μB per formula unit. Its energy of formation is 2 kJ/mol of atoms. The crystal system is orthorhombic. The value obtained for the density is 8.0 g/cm3.